This record from the Alexandria database describes a relaxed structure of TlRh2S. The functional is PBE.

Unit cell a=4.703 b=4.703 c=14.927 alpha=90.00 beta=90.00 gamma=90.00
Space group I-42d (No. 122)
Inequivalent atoms, fractional coordinates:
Tl: 0.000 0.000 0.000
Rh: 0.130 0.250 0.625
S: 0.000 0.000 0.500

**Theoretical density**: 8.90 g/cm3
**DOS(E_F)**: 3.92 states/eV/f.u.
**Spin magnetization**: 0.00 μB per formula unit
**DFT total energy**: -5.290 eV/atom
**E_form (uncorrected)**: 9.0 meV per atom

This record from the Alexandria database describes a relaxed structure of Tl2RhS2. The functional is PBE.

Unit cell a=3.5851 b=3.5851 c=31.8199 alpha=90.00 beta=90.00 gamma=120.00
Space group R-3m (No. 166, hexagonal axes)
Inequivalent atoms, fractional coordinates:
Tl: 0.0000 0.0000 0.0515
Rh: 0.0000 0.0000 0.5000
S: 0.0000 0.0000 0.2048

**E above lowest polymorph**: 0 meV/atom
**Theoretical density**: 8.10 g/cm3
**DOS(E_F)**: 1.35 states/eV/f.u.
**Spin magnetization**: 0.00 μB per formula unit
**DFT total energy**: -4.352 eV/atom
**E_form (uncorrected)**: -284.5 meV per atom

This record from the Alexandria database describes a relaxed structure of Tl2RhS. The functional is PBE.

Unit cell a=7.647 b=7.647 c=6.087 alpha=90.00 beta=90.00 gamma=90.00
Space group I-42d (No. 122)
Inequivalent atoms, fractional coordinates:
Tl: 0.241 0.750 0.125
Rh: 0.000 0.000 0.000
S: 0.000 0.000 0.500

**E above lowest polymorph**: 0 meV/atom
**Theoretical density**: 10.15 g/cm3
**DOS(E_F)**: 3.05 states/eV/f.u.
**Spin magnetization**: 0.00 μB per formula unit
**DFT total energy**: -3.792 eV/atom
**E_form (uncorrected)**: 261.2 meV per atom

This record from the Alexandria database describes a relaxed structure of Tl2RhS. The functional is PBE.

Unit cell a=6.993 b=6.993 c=6.993 alpha=90.00 beta=90.00 gamma=90.00
Space group Fm-3m (No. 225)
Inequivalent atoms, fractional coordinates:
Tl: 0.250 0.250 0.250
Rh: 0.000 0.000 0.000
S: 0.000 0.000 0.500

**E above lowest polymorph**: 179 meV/atom
**Theoretical density**: 10.56 g/cm3
**DOS(E_F)**: 5.80 states/eV/f.u.
**Spin magnetization**: 0.00 μB per formula unit
**DFT total energy**: -3.612 eV/atom
**E_form (uncorrected)**: 440.6 meV per atom

This record from the Alexandria database describes a relaxed structure of TlRhS2. The functional is PBE.

Unit cell a=3.0302 b=3.0302 c=30.0879 alpha=90.00 beta=90.00 gamma=120.00
Space group R-3m (No. 166, hexagonal axes)
Inequivalent atoms, fractional coordinates:
Tl: 0.0000 0.0000 0.0000
Rh: 0.0000 0.0000 0.5000
S: 0.0000 0.0000 0.4262

**Theoretical density**: 7.73 g/cm3
**DOS(E_F)**: 2.08 states/eV/f.u.
**Spin magnetization**: 0.00 μB per formula unit
**DFT total energy**: -4.143 eV/atom
**E_form (uncorrected)**: 349.9 meV per atom

This record from the Alexandria database describes a relaxed structure of TlRh2S. The functional is PBE.

Unit cell a=3.4960 b=3.4960 c=20.1336 alpha=90.00 beta=90.00 gamma=120.00
Space group R3m (No. 160, hexagonal axes)
Inequivalent atoms, fractional coordinates:
Tl: 0.0000 0.0000 0.0000
Rh: 0.0000 0.0000 0.2270
Rh: 0.0000 0.0000 0.4390
S: 0.0000 0.0000 0.8316

**Theoretical density**: 10.34 g/cm3
**DOS(E_F)**: 3.23 states/eV/f.u.
**Spin magnetization**: 0.00 μB per formula unit
**DFT total energy**: -5.251 eV/atom
**E_form (uncorrected)**: 47.7 meV per atom

This record from the Alexandria database describes a relaxed structure of TlRhS. The functional is PBE.

Unit cell a=11.187 b=3.602 c=6.394 alpha=90.00 beta=94.75 gamma=90.00
Space group C2/m (No. 12)
Inequivalent atoms, fractional coordinates:
Tl: 0.166 0.000 0.187
Rh: 0.000 0.000 0.500
Rh: 0.000 0.500 0.000
S: 0.095 0.500 0.685

**E above lowest polymorph**: 0 meV/atom
**Theoretical density**: 8.78 g/cm3
**DOS(E_F)**: 1.47 states/eV/f.u.
**Spin magnetization**: 0.00 μB per formula unit
**DFT total energy**: -4.834 eV/atom
**E_form (uncorrected)**: -218.9 meV per atom

This record from the Alexandria database describes a relaxed structure of Tl5RhS4. The functional is PBE.

Unit cell a=17.683 b=3.877 c=7.922 alpha=90.00 beta=105.19 gamma=90.00
Space group C2/m (No. 12)
Inequivalent atoms, fractional coordinates:
Tl: 0.000 0.000 0.000
Tl: 0.158 0.500 0.291
Tl: 0.185 0.500 0.822
Rh: 0.000 0.000 0.500
S: 0.015 0.500 0.699
S: 0.141 0.000 0.536

**Theoretical density**: 7.94 g/cm3
**DOS(E_F)**: 1.67 states/eV/f.u.
**Spin magnetization**: 0.00 μB per formula unit
**DFT total energy**: -3.853 eV/atom
**E_form (uncorrected)**: -283.8 meV per atom

| no. | volume (Å³/cell) |
| --- | --- |
| 1 | 330 |
| 2 | 354 |
| 3 | 356 |
| 4 | 342 |
| 5 | 239 |
| 6 | 213 |
| 7 | 257 |
| 8 | 524 |